CaScNi3 | SCAN | single point on PBEsol structure

```
CaScNi3
1.0
4.465 0.000 0.000
0.000 4.465 0.000
0.000 0.000 4.465
Ni Sc Ca
3 1 1
Direct
0.000 0.000 0.500 Ni
0.000 0.500 0.000 Ni
0.500 0.000 0.000 Ni
0.500 0.500 0.500 Sc
0.000 0.000 0.000 Ca
```

Values from the calculation:
* total DFT energy (no corrections): -13.400 eV per atom
* ρ: 4.87 g/cm³
* crystal system: cubic
* formation energy: 1.084 eV/atom